Entry 1:
# ReP2Br, relaxed, DFT PBE
data_ReP2Br
_space_group_name_H-M_alt 'I -4 2 d'
_space_group_IT_number 122
_space_group_name_Hall 'I -4 2bw'
_cell_length_a 6.207
_cell_length_b 6.207
_cell_length_c 10.307
_cell_angle_alpha 90.00
_cell_angle_beta 90.00
_cell_angle_gamma 90.00
loop_
_atom_site_label
_atom_site_type_symbol
_atom_site_fract_x
_atom_site_fract_y
_atom_site_fract_z
_atom_site_occupancy
Re1 Re 0.000 0.000 0.000 1
P1 P 0.157 0.250 0.125 1
Br1 Br 0.000 0.000 0.500 1
# energy above the most stable polymorph in this dataset = 7.42 kcal/mol of atoms
# ΔE_f (raw) = 135.5 kJ/mol of formula units
# electronic total energy = -23.5 eV/f.u.
# crystal system = tetragonal

---

Entry 2:
# Zr2Pt2Pb, relaxed, DFT PBE
data_Zr2Pt2Pb
_space_group_name_H-M_alt 'I 4/m m m'
_space_group_IT_number 139
_space_group_name_Hall '-I 4 2'
_cell_length_a 4.633
_cell_length_b 4.633
_cell_length_c 10.768
_cell_angle_alpha 90.00
_cell_angle_beta 90.00
_cell_angle_gamma 90.00
loop_
_atom_site_label
_atom_site_type_symbol
_atom_site_fract_x
_atom_site_fract_y
_atom_site_fract_z
_atom_site_occupancy
Zr1 Zr 0.000 0.500 0.250 1
Pt1 Pt 0.000 0.000 0.122 1
Pb1 Pb 0.000 0.000 0.500 1
# energy of formation from the pure elements = -0.631 eV/atom
# electronic total energy = -36.0 eV/f.u.
# crystal system = tetragonal

---

Entry 3:
# CdBiPd3, relaxed, DFT PBE
data_CdBiPd3
_space_group_name_H-M_alt 'P n m a'
_space_group_IT_number 62
_cell_length_a 7.491
_cell_length_b 7.595
_cell_length_c 6.848
_cell_angle_alpha 90.00
_cell_angle_beta 90.00
_cell_angle_gamma 90.00
loop_
_space_group_symop_operation_xyz
'x,y,z'
'-x,-y,-z'
'-x+1/2,-y,z+1/2'
'x+1/2,y,-z+1/2'
'x+1/2,-y+1/2,-z+1/2'
'-x+1/2,y+1/2,z+1/2'
'-x,y+1/2,-z'
'x,-y+1/2,z'
loop_
_atom_site_label
_atom_site_type_symbol
_atom_site_fract_x
_atom_site_fract_y
_atom_site_fract_z
_atom_site_occupancy
Cd1 Cd 0.000 0.000 0.000 1
Bi1 Bi 0.157 0.250 0.410 1
Pd1 Pd 0.140 0.750 0.273 1
Pd2 Pd 0.151 0.550 0.635 1
# energy above the most stable polymorph in this dataset = 0.65 kcal/mol of atoms
# energy of formation from the pure elements = -0.216 eV/atom
# electronic total energy = -21.5 eV/f.u.
# crystal system = orthorhombic

---

Entry 4:
# MgCdGe2Pb, relaxed, DFT PBE
data_MgCdGe2Pb
_space_group_name_H-M_alt 'P 4/m m m'
_space_group_IT_number 123
_space_group_name_Hall '-P 4 2'
_cell_length_a 5.466
_cell_length_b 5.466
_cell_length_c 5.686
_cell_angle_alpha 90.00
_cell_angle_beta 90.00
_cell_angle_gamma 90.00
loop_
_atom_site_label
_atom_site_type_symbol
_atom_site_fract_x
_atom_site_fract_y
_atom_site_fract_z
_atom_site_occupancy
Mg1 Mg 0.000 0.000 0.000 1
Cd1 Cd 0.500 0.500 0.000 1
Ge1 Ge 0.000 0.500 0.500 1
Pb1 Pb 0.500 0.500 0.500 1
# energy of formation from the pure elements = 0.855 eV/atom
# electronic total energy = -11.2 eV/f.u.
# crystal system = tetragonal

---

Entry 5:
# NiCl, relaxed, DFT PBE
data_NiCl
_space_group_name_H-M_alt 'I 4/m'
_space_group_IT_number 87
_space_group_name_Hall '-I 4'
_cell_length_a 9.498
_cell_length_b 9.498
_cell_length_c 3.589
_cell_angle_alpha 90.00
_cell_angle_beta 90.00
_cell_angle_gamma 90.00
loop_
_atom_site_label
_atom_site_type_symbol
_atom_site_fract_x
_atom_site_fract_y
_atom_site_fract_z
_atom_site_occupancy
Ni1 Ni 0.188 0.312 0.000 1
Cl1 Cl 0.053 0.735 0.000 1
# ΔE_f (raw) = -22.5 kJ/mol of formula units
# electronic total energy = -7.9 eV/f.u.
# crystal system = tetragonal

---

Entry 6:
# K2MoP, relaxed, DFT PBE
data_K2MoP
_space_group_name_H-M_alt 'C 1 2/m 1'
_space_group_IT_number 12
_cell_length_a 5.298
_cell_length_b 11.277
_cell_length_c 2.982
_cell_angle_alpha 90.00
_cell_angle_beta 96.88
_cell_angle_gamma 90.00
loop_
_space_group_symop_operation_xyz
'x,y,z'
'-x,-y,-z'
'-x,y,-z'
'x,-y,z'
'x+1/2,y+1/2,z'
'-x+1/2,-y+1/2,-z'
'-x+1/2,y+1/2,-z'
'x+1/2,-y+1/2,z'
loop_
_atom_site_label
_atom_site_type_symbol
_atom_site_fract_x
_atom_site_fract_y
_atom_site_fract_z
_atom_site_occupancy
K1 K 0.250 0.250 0.000 1
Mo1 Mo 0.000 0.000 0.500 1
P1 P 0.000 0.500 0.500 1
# energy of formation from the pure elements = 0.936 eV/atom
# electronic total energy = -14.7 eV/f.u.
# crystal system = monoclinic

---

Entry 7:
# NaBi2Se2, relaxed, DFT PBE
data_NaBi2Se2
_space_group_name_H-M_alt 'I 4/m m m'
_space_group_IT_number 139
_space_group_name_Hall '-I 4 2'
_cell_length_a 4.505
_cell_length_b 4.505
_cell_length_c 15.109
_cell_angle_alpha 90.00
_cell_angle_beta 90.00
_cell_angle_gamma 90.00
loop_
_atom_site_label
_atom_site_type_symbol
_atom_site_fract_x
_atom_site_fract_y
_atom_site_fract_z
_atom_site_occupancy
Na1 Na 0.000 0.000 0.000 1
Bi1 Bi 0.000 0.500 0.250 1
Se1 Se 0.000 0.000 0.416 1
# energy above the most stable polymorph in this dataset = 1.91 kcal/mol of atoms
# ΔE_f (raw) = -93.1 kJ/mol of formula units
# electronic total energy = -17.0 eV/f.u.
# crystal system = tetragonal

---

Entry 8:
# ErScSi, relaxed, DFT PBE
data_ErScSi
_space_group_name_H-M_alt 'P 4/n m m'
_space_group_IT_number 129
_cell_length_a 4.171
_cell_length_b 4.171
_cell_length_c 7.700
_cell_angle_alpha 90.00
_cell_angle_beta 90.00
_cell_angle_gamma 90.00
loop_
_space_group_symop_operation_xyz
'x,y,z'
'-x,-y,-z'
'-y+1/2,x,z'
'y+1/2,-x,-z'
'-x+1/2,-y+1/2,z'
'x+1/2,y+1/2,-z'
'y,-x+1/2,z'
'-y,x+1/2,-z'
'x+1/2,-y,-z'
'-x+1/2,y,z'
'-y,-x,-z'
'y,x,z'
'-x,y+1/2,-z'
'x,-y+1/2,z'
'y+1/2,x+1/2,-z'
'-y+1/2,-x+1/2,z'
loop_
_atom_site_label
_atom_site_type_symbol
_atom_site_fract_x
_atom_site_fract_y
_atom_site_fract_z
_atom_site_occupancy
Er1 Er 0.250 0.250 0.147 1
Sc1 Sc 0.250 0.750 0.500 1
Si1 Si 0.250 0.250 0.759 1
# energy above the most stable polymorph in this dataset = 0.00 kcal/mol of atoms
# ΔE_f (raw) = -181.8 kJ/mol of formula units
# electronic total energy = -18.2 eV/f.u.
# crystal system = tetragonal

---

Entry 9:
# HfNb2S5, relaxed, DFT PBE
data_HfNb2S5
_space_group_name_H-M_alt 'F m m m'
_space_group_IT_number 69
_space_group_name_Hall '-F 2 2'
_cell_length_a 4.664
_cell_length_b 13.003
_cell_length_c 13.442
_cell_angle_alpha 90.00
_cell_angle_beta 90.00
_cell_angle_gamma 90.00
loop_
_atom_site_label
_atom_site_type_symbol
_atom_site_fract_x
_atom_site_fract_y
_atom_site_fract_z
_atom_site_occupancy
Hf1 Hf 0.000 0.000 0.000 1
Nb1 Nb 0.000 0.189 0.500 1
S1 S 0.000 0.000 0.500 1
S2 S 0.000 0.162 0.117 1
# energy above the most stable polymorph in this dataset = 2.95 kcal/mol of atoms
# ΔE_f (raw) = -712.4 kJ/mol of formula units
# electronic total energy = -58.1 eV/f.u.
# crystal system = orthorhombic

---

Entry 10:
# ThTaSe6, relaxed, DFT PBE
data_ThTaSe6
_space_group_name_H-M_alt 'P -1'
_space_group_IT_number 2
_cell_length_a 5.261
_cell_length_b 6.081
_cell_length_c 6.741
_cell_angle_alpha 101.88
_cell_angle_beta 91.11
_cell_angle_gamma 102.20
loop_
_space_group_symop_operation_xyz
'x,y,z'
'-x,-y,-z'
loop_
_atom_site_label
_atom_site_type_symbol
_atom_site_fract_x
_atom_site_fract_y
_atom_site_fract_z
_atom_site_occupancy
Th1 Th 0.000 0.000 0.000 1
Ta1 Ta 0.500 0.500 0.500 1
Se1 Se 0.147 0.251 0.671 1
Se2 Se 0.177 0.515 0.216 1
Se3 Se 0.466 0.867 0.757 1
# ΔE_f (raw) = -585.2 kJ/mol of formula units
# electronic total energy = -46.2 eV/f.u.
# crystal system = triclinic

---

Entry 11:
# La2IBr2N, relaxed, DFT PBE
data_La2IBr2N
_space_group_name_H-M_alt 'P m c 21'
_space_group_IT_number 26
_cell_length_a 4.110
_cell_length_b 11.009
_cell_length_c 9.642
_cell_angle_alpha 90.00
_cell_angle_beta 90.00
_cell_angle_gamma 90.00
loop_
_space_group_symop_operation_xyz
'x,y,z'
'-x,-y,z+1/2'
'-x,y,z'
'x,-y,z+1/2'
loop_
_atom_site_label
_atom_site_type_symbol
_atom_site_fract_x
_atom_site_fract_y
_atom_site_fract_z
_atom_site_occupancy
La1 La 0.000 0.039 0.000 1
La2 La 0.500 0.245 0.378 1
I1 I 0.500 0.120 0.706 1
Br1 Br 0.000 0.442 0.428 1
Br2 Br 0.500 0.244 0.062 1
N1 N 0.000 0.127 0.391 1
# ΔE_f (raw) = -952.4 kJ/mol of formula units
# electronic total energy = -32.9 eV/f.u.
# crystal system = orthorhombic

---

Entry 12:
# TcRuPt, relaxed, DFT PBE
data_TcRuPt
_space_group_name_H-M_alt 'P -1'
_space_group_IT_number 2
_cell_length_a 2.713
_cell_length_b 4.943
_cell_length_c 7.104
_cell_angle_alpha 78.81
_cell_angle_beta 79.04
_cell_angle_gamma 89.91
loop_
_space_group_symop_operation_xyz
'x,y,z'
'-x,-y,-z'
loop_
_atom_site_label
_atom_site_type_symbol
_atom_site_fract_x
_atom_site_fract_y
_atom_site_fract_z
_atom_site_occupancy
Tc1 Tc 0.136 0.086 0.226 1
Ru1 Ru 0.498 0.258 0.502 1
Pt1 Pt 0.319 0.383 0.862 1
# energy above the most stable polymorph in this dataset = 4.40 kcal/mol of atoms
# energy of formation from the pure elements = 0.100 eV/atom
# electronic total energy = -25.4 eV/f.u.
# crystal system = triclinic

---

Entry 13:
# Tb6AgHg2, relaxed, DFT PBE
data_Tb6AgHg2
_space_group_name_H-M_alt 'C 1 2/m 1'
_space_group_IT_number 12
_cell_length_a 16.058
_cell_length_b 7.235
_cell_length_c 5.077
_cell_angle_alpha 90.00
_cell_angle_beta 108.37
_cell_angle_gamma 90.00
loop_
_space_group_symop_operation_xyz
'x,y,z'
'-x,-y,-z'
'-x,y,-z'
'x,-y,z'
'x+1/2,y+1/2,z'
'-x+1/2,-y+1/2,-z'
'-x+1/2,y+1/2,-z'
'x+1/2,-y+1/2,z'
loop_
_atom_site_label
_atom_site_type_symbol
_atom_site_fract_x
_atom_site_fract_y
_atom_site_fract_z
_atom_site_occupancy
Tb1 Tb 0.000 0.246 0.000 1
Tb2 Tb 0.165 0.248 0.665 1
Ag1 Ag 0.000 0.000 0.500 1
Hg1 Hg 0.167 0.500 0.167 1
# energy of formation from the pure elements = -0.054 eV/atom
# electronic total energy = -31.7 eV/f.u.
# crystal system = monoclinic

---

Entry 14:
# Mn2ReMoH, relaxed, DFT PBE
data_Mn2ReMoH
_space_group_name_H-M_alt 'P 4/m m m'
_space_group_IT_number 123
_space_group_name_Hall '-P 4 2'
_cell_length_a 3.785
_cell_length_b 3.785
_cell_length_c 3.881
_cell_angle_alpha 90.00
_cell_angle_beta 90.00
_cell_angle_gamma 90.00
loop_
_atom_site_label
_atom_site_type_symbol
_atom_site_fract_x
_atom_site_fract_y
_atom_site_fract_z
_atom_site_occupancy
Mn1 Mn 0.000 0.500 0.000 1
Re1 Re 0.000 0.000 0.500 1
Mo1 Mo 0.500 0.500 0.500 1
H1 H 0.000 0.000 0.000 1
# energy above the most stable polymorph in this dataset = 0.50 kcal/mol of atoms
# electronic total energy = -44.4 eV/f.u.
# crystal system = tetragonal

---

Entry 15:
# KSr2Au, relaxed, DFT PBE
data_KSr2Au
_space_group_name_H-M_alt 'P 4 m m'
_space_group_IT_number 99
_cell_length_a 4.111
_cell_length_b 4.111
_cell_length_c 10.390
_cell_angle_alpha 90.00
_cell_angle_beta 90.00
_cell_angle_gamma 90.00
loop_
_space_group_symop_operation_xyz
'x,y,z'
'-y,x,z'
'-x,-y,z'
'y,-x,z'
'-x,y,z'
'y,x,z'
'x,-y,z'
'-y,-x,z'
loop_
_atom_site_label
_atom_site_type_symbol
_atom_site_fract_x
_atom_site_fract_y
_atom_site_fract_z
_atom_site_occupancy
K1 K 0.000 0.000 0.000 1
Sr1 Sr 0.000 0.000 0.640 1
Sr2 Sr 0.500 0.500 0.343 1
Au1 Au 0.500 0.500 0.773 1
# energy above the most stable polymorph in this dataset = 3.10 kcal/mol of atoms
# energy of formation from the pure elements = -0.253 eV/atom
# electronic total energy = -8.8 eV/f.u.
# crystal system = tetragonal

---

Entry 16:
# P4S3, relaxed, DFT PBE
data_P4S3
_space_group_name_H-M_alt 'P n m a'
_space_group_IT_number 62
_cell_length_a 11.900
_cell_length_b 10.849
_cell_length_c 7.135
_cell_angle_alpha 90.00
_cell_angle_beta 90.00
_cell_angle_gamma 90.00
loop_
_space_group_symop_operation_xyz
'x,y,z'
'-x,-y,-z'
'-x+1/2,-y,z+1/2'
'x+1/2,y,-z+1/2'
'x+1/2,-y+1/2,-z+1/2'
'-x+1/2,y+1/2,z+1/2'
'-x,y+1/2,-z'
'x,-y+1/2,z'
loop_
_atom_site_label
_atom_site_type_symbol
_atom_site_fract_x
_atom_site_fract_y
_atom_site_fract_z
_atom_site_occupancy
P1 P 0.067 0.250 0.097 1
P2 P 0.071 0.646 0.754 1
P3 P 0.164 0.750 0.160 1
S1 S 0.014 0.250 0.817 1
S2 S 0.184 0.601 0.971 1
# ΔE_f (raw) = -98.2 kJ/mol of formula units
# electronic total energy = -35.0 eV/f.u.
# crystal system = orthorhombic

---

Entry 17:
# Ca2MnCdN, relaxed, DFT PBE
data_Ca2MnCdN
_space_group_name_H-M_alt 'P 4/m m m'
_space_group_IT_number 123
_space_group_name_Hall '-P 4 2'
_cell_length_a 5.159
_cell_length_b 5.159
_cell_length_c 3.816
_cell_angle_alpha 90.00
_cell_angle_beta 90.00
_cell_angle_gamma 90.00
loop_
_atom_site_label
_atom_site_type_symbol
_atom_site_fract_x
_atom_site_fract_y
_atom_site_fract_z
_atom_site_occupancy
Ca1 Ca 0.000 0.500 0.000 1
Mn1 Mn 0.000 0.000 0.500 1
Cd1 Cd 0.500 0.500 0.500 1
N1 N 0.000 0.000 0.000 1
# ΔE_f (raw) = -209.0 kJ/mol of formula units
# electronic total energy = -24.6 eV/f.u.
# crystal system = tetragonal

---

Entry 18:
# CeThOs, relaxed, DFT PBE
data_CeThOs
_space_group_name_H-M_alt 'F -4 3 m'
_space_group_IT_number 216
_space_group_name_Hall 'F -4 2 3'
_cell_length_a 6.920
_cell_length_b 6.920
_cell_length_c 6.920
_cell_angle_alpha 90.00
_cell_angle_beta 90.00
_cell_angle_gamma 90.00
loop_
_atom_site_label
_atom_site_type_symbol
_atom_site_fract_x
_atom_site_fract_y
_atom_site_fract_z
_atom_site_occupancy
Ce1 Ce 0.000 0.000 0.000 1
Th1 Th 0.000 0.000 0.500 1
Os1 Os 0.250 0.250 0.750 1
# energy above the most stable polymorph in this dataset = 3.44 kcal/mol of atoms
# energy of formation from the pure elements = -0.093 eV/atom
# electronic total energy = -24.9 eV/f.u.
# crystal system = cubic

---

Entry 19:
# Eu2HoAu, relaxed, DFT PBE
data_Eu2HoAu
_space_group_name_H-M_alt 'R -3 m'
_space_group_IT_number 166
_space_group_name_Hall '-R 3 2"'
_cell_length_a 3.7197
_cell_length_b 3.7197
_cell_length_c 33.8490
_cell_angle_alpha 90.00
_cell_angle_beta 90.00
_cell_angle_gamma 120.00
loop_
_atom_site_label
_atom_site_type_symbol
_atom_site_fract_x
_atom_site_fract_y
_atom_site_fract_z
_atom_site_occupancy
Eu1 Eu 0.0000 0.0000 0.1020 1
Ho1 Ho 0.0000 0.0000 0.0000 1
Au1 Au 0.0000 0.0000 0.5000 1
# energy above the most stable polymorph in this dataset = 6.16 kcal/mol of atoms
# energy of formation from the pure elements = -0.047 eV/atom
# electronic total energy = -28.6 eV/f.u.
# crystal system = trigonal

---

Entry 20:
# BaUGe2, relaxed, DFT PBE
data_BaUGe2
_space_group_name_H-M_alt 'R -3 m'
_space_group_IT_number 166
_space_group_name_Hall '-R 3 2"'
_cell_length_a 4.4408
_cell_length_b 4.4408
_cell_length_c 21.4854
_cell_angle_alpha 90.00
_cell_angle_beta 90.00
_cell_angle_gamma 120.00
loop_
_atom_site_label
_atom_site_type_symbol
_atom_site_fract_x
_atom_site_fract_y
_atom_site_fract_z
_atom_site_occupancy
Ba1 Ba 0.0000 0.0000 0.0000 1
U1 U 0.0000 0.0000 0.5000 1
Ge1 Ge 0.0000 0.0000 0.2252 1
# energy of formation from the pure elements = -0.125 eV/atom
# electronic total energy = -22.9 eV/f.u.
# crystal system = trigonal